This record from Alexandria via LeMat-Bulk describes LaPm5Tm3 after structural relaxation. The functional is GGA-PBE.

a b c (Å): 8.5479 8.5479 10.2409
angles (deg): 114.67 114.67 90.00
With the nearest neighbours (Å) after each atom.
Element x y z (fractional)
La 0.7500 0.2500 0.5000  4 Pm 3.00
La 0.2500 0.7500 0.5000  4 Pm 3.00
Pm 0.0570 0.5570 0.7235  1 La 3.00, 1 Tm 3.16
Pm 0.6665 0.1665 0.7235  1 La 3.00, 1 Tm 3.16
Pm 0.1665 0.0570 0.7235  1 La 3.00, 1 Tm 3.16
Pm 0.5570 0.6665 0.7235  1 La 3.00, 1 Tm 3.16
Pm 0.9430 0.4430 0.2765  1 La 3.00, 1 Tm 3.16
Pm 0.3335 0.8335 0.2765  1 La 3.00, 1 Tm 3.16
Pm 0.8335 0.9430 0.2765  1 La 3.00, 1 Tm 3.16
Pm 0.4430 0.3335 0.2765  1 La 3.00, 1 Tm 3.16
Pm 0.5000 0.5000 0.0000  4 Tm 3.38
Pm 0.0000 0.0000 0.0000  4 Tm 3.38
Tm 0.6242 0.1242 0.0000  1 Tm 3.00, 2 Pm 3.16
Tm 0.3758 0.8758 0.0000  1 Tm 3.00, 2 Pm 3.16
Tm 0.8758 0.6242 0.0000  1 Tm 3.00, 2 Pm 3.16
Tm 0.1242 0.3758 0.0000  1 Tm 3.00, 2 Pm 3.16
Tm 0.2500 0.2500 0.5000  8 Pm 3.60
Tm 0.7500 0.7500 0.5000  8 Pm 3.60

Summary:
The symmetry is No. 140. The calculation puts the relative energy among the computed polymorphs at 0.000 eV/atom.

---

This record from Alexandria via LeMat-Bulk describes LaPmTm2 after structural relaxation. The functional is GGA-PBE.

a b c (Å): 3.6040 3.6040 11.7663
angles (deg): 81.19 81.19 60.00
With the nearest neighbours (Å) after each atom.
Element x y z (fractional)
Tm 0.7491 0.7491 0.7528  3 Pm 3.54, 3 La 3.59, 6 Tm 3.60
Tm 0.2509 0.2509 0.2472  3 Pm 3.54, 3 La 3.59, 6 Tm 3.60
La 0.5000 0.5000 0.5000  6 Tm 3.59, 6 La 3.60
Pm 0.0000 0.0000 0.0000  6 Tm 3.54, 6 Pm 3.60

Summary:
The symmetry is No. 166. The calculation puts the relative energy among the computed polymorphs at 0.000 eV/atom.

---

This record from Alexandria via LeMat-Bulk describes LaPm2Tm after structural relaxation. The functional is GGA-PBE.

a b c (Å): 5.1777 5.1777 6.2554
angles (deg): 114.45 114.45 90.00
With the nearest neighbours (Å) after each atom.
Element x y z (fractional)
La 0.0000 0.0000 0.0000  8 Pm 3.62-3.66, 4 Tm 3.62
Pm 0.5000 0.5000 0.0000  4 Pm 3.62, 4 Tm 3.62, 4 La 3.66
Pm 0.7500 0.2500 0.5000  4 La 3.62, 4 Pm 3.62, 4 Tm 3.66
Tm 0.2500 0.7500 0.5000  8 Pm 3.62-3.66, 4 La 3.62

Summary:
The symmetry is No. 119. The calculation puts the relative energy among the computed polymorphs at 0.003 eV/atom.

---

This record from Alexandria via LeMat-Bulk describes LaPm15Tm4 after structural relaxation. The functional is GGA-PBE.

a b c (Å): 5.1278 5.1278 25.6012
angles (deg): 90.00 90.00 90.00
With the nearest neighbours (Å) after each atom.
Element x y z (fractional)
La 0.0000 0.0000 0.0000  12 Pm 3.63-3.68
Pm 0.5000 0.5000 0.0000  4 La 3.63, 8 Pm 3.68
Pm 0.5000 0.5000 0.2033  8 Pm 3.59-3.63, 4 Tm 3.63
Pm 0.5000 0.5000 0.4008  8 Pm 3.61, 4 Tm 3.63
Pm 0.5000 0.5000 0.5992  8 Pm 3.61, 4 Tm 3.63
Pm 0.5000 0.5000 0.7967  8 Pm 3.59-3.63, 4 Tm 3.63
Pm 0.5000 0.0000 0.1031  2 Tm 3.61, 8 Pm 3.63-3.68, 2 La 3.68
Pm 0.5000 0.0000 0.3015  8 Pm 3.59-3.63, 4 Tm 3.61
Pm 0.5000 0.0000 0.5000  8 Pm 3.61-3.63, 4 Tm 3.61
Pm 0.5000 0.0000 0.6985  8 Pm 3.59-3.63, 4 Tm 3.61
Pm 0.5000 0.0000 0.8969  2 Tm 3.61, 8 Pm 3.63-3.68, 2 La 3.68
Pm 0.0000 0.5000 0.1031  2 Tm 3.61, 8 Pm 3.63-3.68, 2 La 3.68
Pm 0.0000 0.5000 0.3015  8 Pm 3.59-3.63, 4 Tm 3.61
Pm 0.0000 0.5000 0.5000  8 Pm 3.61-3.63, 4 Tm 3.61
Pm 0.0000 0.5000 0.6985  8 Pm 3.59-3.63, 4 Tm 3.61
Pm 0.0000 0.5000 0.8969  2 Tm 3.61, 8 Pm 3.63-3.68, 2 La 3.68
Tm 0.0000 0.0000 0.2022  12 Pm 3.61-3.63
Tm 0.0000 0.0000 0.4008  12 Pm 3.61-3.63
Tm 0.0000 0.0000 0.5992  12 Pm 3.61-3.63
Tm 0.0000 0.0000 0.7978  12 Pm 3.61-3.63

Summary:
The symmetry is No. 123.

---

Number 1: VASP energy -4.405 eV per atom. Number 2: VASP energy -4.637 eV per atom. Number 3: VASP energy -4.703 eV per atom. Number 4: VASP energy -4.688 eV per atom.